Computed, not measured: a geometry-optimized HfVPt4 structure at the PBE-GGA level of DFT. Values from VASP.

**SG**: C2/m
**M_tot**: 1.843 μB per cell
**ΔE_f**: -0.551 eV per atom
**Total energy**: -93.086 eV per cell

The structure in Quantum ESPRESSO input format:
```
&SYSTEM
  ibrav = 0, nat = 12, ntyp = 3
/
ATOMIC_SPECIES
Hf 178.49 Hf.upf
Pt 195.08 Pt.upf
V 50.94 V.upf
CELL_PARAMETERS angstrom
-0.9517 -3.9017 3.8636
-3.4271 -2.6223 -3.4680
5.5323 -3.8673 -2.5428
ATOMIC_POSITIONS angstrom
Hf -1.1871 -2.9337 -3.2367
Pt -0.9075 -5.5619 -3.7403
Pt 3.5724 -6.1843 -3.2778
Pt 4.8242 -6.7612 0.3230
Pt 0.3445 -6.1385 -0.1395
V 0.0503 -3.5732 0.4292
Pt 2.0611 -4.8294 1.5931
V 1.1032 -6.8182 -2.5764
Hf 3.2923 -3.5559 -2.7740
Pt -3.6706 -3.6301 -2.4702
Pt -2.4189 -4.2070 1.1306
Pt 0.8090 -4.2529 -2.0077
```